No. 1
{
  "formula": "MnIrSeN2",
  "functional": "PBE-GGA",
  "state": "optimized geometry",
  "raw_formation_energy_ev_per_fu": 4.94,
  "de_polymorph_ev_per_atom": 0.278,
  "space_group": "P4/mmm",
  "cell": [[3.5721, 0.0000, 0.0000], [0.0000, 3.5721, 0.0000], [0.0000, 0.0000, 5.3566]],
  "species": ["Mn", "Ir", "Se", "N", "N"],
  "frac_coords": [[0.0000, 0.0000, 0.0000], [0.5000, 0.5000, 0.5000], [0.0000, 0.0000, 0.5000], [0.0000, 0.5000, 0.0000], [0.5000, 0.0000, 0.0000]]
}

---

No. 2
{
  "formula": "MoPbCl2",
  "functional": "PBE-GGA",
  "state": "optimized geometry",
  "raw_formation_energy_ev_per_fu": 0.33,
  "de_polymorph_ev_per_atom": 0.297,
  "space_group": "P4mm",
  "cell": [[3.2544, 0.0000, 0.0000], [0.0000, 3.2544, 0.0000], [0.0000, 0.0000, 8.2693]],
  "species": ["Mo", "Pb", "Cl", "Cl"],
  "frac_coords": [[0.0000, 0.0000, 0.0000], [0.5000, 0.5000, 0.2805], [0.0000, 0.0000, 0.5188], [0.5000, 0.5000, 0.8739]]
}

---

No. 3
{
  "formula": "BaPuAgTe3",
  "functional": "PBE-GGA",
  "state": "optimized geometry",
  "raw_formation_energy_ev_per_fu": -6.42,
  "space_group": "P2_1/m",
  "cell": [[9.3252, 0.0000, 0.0000], [0.0000, 4.5658, 0.0000], [-2.6954, 0.0000, 9.7705]],
  "species": ["Ba", "Ba", "Pu", "Pu", "Ag", "Ag", "Te", "Te", "Te", "Te", "Te", "Te"],
  "frac_coords": [[0.1956, 0.2500, 0.2476], [0.8044, 0.7500, 0.7524], [0.3248, 0.7500, 0.8426], [0.6752, 0.2500, 0.1574], [0.0820, 0.2500, 0.5851], [0.9180, 0.7500, 0.4149], [0.1037, 0.2500, 0.8715], [0.2445, 0.7500, 0.5243], [0.4469, 0.7500, 0.1626], [0.5531, 0.2500, 0.8374], [0.7555, 0.2500, 0.4757], [0.8963, 0.7500, 0.1285]]
}

---

No. 4
{
  "formula": "ThZrTi2",
  "functional": "PBE-GGA",
  "state": "optimized geometry",
  "ef_ev_per_atom": 0.152,
  "de_polymorph_ev_per_atom": 0.034,
  "space_group": "P4/mmm",
  "cell": [[4.8749, 0.0000, 0.0000], [0.0000, 4.8749, 0.0000], [0.0000, 0.0000, 3.6650]],
  "species": ["Th", "Zr", "Ti", "Ti"],
  "frac_coords": [[0.0000, 0.0000, 0.0000], [0.5000, 0.5000, 0.0000], [0.0000, 0.5000, 0.5000], [0.5000, 0.0000, 0.5000]]
}

---

No. 5
{
  "formula": "CaDyI",
  "functional": "PBE-GGA",
  "state": "optimized geometry",
  "raw_formation_energy_ev_per_fu": -1.48,
  "space_group": "P-6m2",
  "cell": [[3.8786, 0.0000, 0.0000], [-1.9393, 3.3590, 0.0000], [0.0000, 0.0000, 15.3871]],
  "species": ["Ca", "Ca", "Dy", "Dy", "I", "I"],
  "frac_coords": [[0.0000, 0.0000, 0.0000], [0.3333, 0.6667, 0.5000], [0.3333, 0.6667, 0.1917], [0.3333, 0.6667, 0.8083], [0.0000, 0.0000, 0.3444], [0.0000, 0.0000, 0.6556]]
}

---

No. 6
{
  "formula": "NaCaHoBr6",
  "functional": "PBE-GGA",
  "state": "optimized geometry",
  "raw_formation_energy_ev_per_fu": -16.74,
  "space_group": "P-31c",
  "cell": [[7.3129, 0.0000, 0.0000], [-3.6564, 6.3331, 0.0000], [0.0000, 0.0000, 13.2672]],
  "species": ["Na", "Na", "Ca", "Ca", "Ho", "Ho", "Br", "Br", "Br", "Br", "Br", "Br", "Br", "Br", "Br", "Br", "Br", "Br"],
  "frac_coords": [[0.0000, 0.0000, 0.0000], [0.0000, 0.0000, 0.5000], [0.3333, 0.6667, 0.2500], [0.6667, 0.3333, 0.7500], [0.3333, 0.6667, 0.7500], [0.6667, 0.3333, 0.2500], [0.0120, 0.3586, 0.6296], [0.0120, 0.6534, 0.8704], [0.3466, 0.3586, 0.8704], [0.3466, 0.9880, 0.6296], [0.3586, 0.0120, 0.1296], [0.3586, 0.3466, 0.3704], [0.6414, 0.6534, 0.6296], [0.6414, 0.9880, 0.8704], [0.6534, 0.0120, 0.3704], [0.6534, 0.6414, 0.1296], [0.9880, 0.3466, 0.1296], [0.9880, 0.6414, 0.3704]]
}

---

Repeat the fifth record exactly.
{
  "formula": "CaDyI",
  "functional": "PBE-GGA",
  "state": "optimized geometry",
  "raw_formation_energy_ev_per_fu": -1.48,
  "space_group": "P-6m2",
  "cell": [[3.8786, 0.0000, 0.0000], [-1.9393, 3.3590, 0.0000], [0.0000, 0.0000, 15.3871]],
  "species": ["Ca", "Ca", "Dy", "Dy", "I", "I"],
  "frac_coords": [[0.0000, 0.0000, 0.0000], [0.3333, 0.6667, 0.5000], [0.3333, 0.6667, 0.1917], [0.3333, 0.6667, 0.8083], [0.0000, 0.0000, 0.3444], [0.0000, 0.0000, 0.6556]]
}